! PBE+U UVCr2O8, optimized geometry; values from VASP
&SYSTEM
  ibrav = 0, nat = 12, ntyp = 4
/
ATOMIC_SPECIES
U 238.03 U.upf
V 50.94 V.upf
Cr 52.00 Cr.upf
O 16.00 O.upf
CELL_PARAMETERS angstrom
3.271 -3.329 0.000
3.271 3.329 0.000
0.000 0.000 6.307
ATOMIC_POSITIONS crystal
U 0.000 0.000 0.000
V 0.000 0.000 0.500
Cr 0.500 0.500 0.263
Cr 0.500 0.500 0.737
O 0.197 0.803 0.261
O 0.197 0.803 0.739
O 0.295 0.295 0.500
O 0.313 0.313 0.000
O 0.687 0.687 0.000
O 0.705 0.705 0.500
O 0.803 0.197 0.261
O 0.803 0.197 0.739
! * final energy: -8.45 eV per atom
! * mass density: 6.30 g/cm³
! * crystal system: orthorhombic